[1]
The following is a PBEsol calculation of an optimized crystal structure of NbCrMo3, from Alexandria via LeMat-Bulk.

a = 4.405 Å, b = 4.405 Å, c = 4.405 Å
α = 90.00°, β = 90.00°, γ = 90.00°
Sites, in units of the cell vectors:
Nb 0.000 0.000 0.000
Cr 0.500 0.500 0.500
Mo 0.000 0.500 0.500
Mo 0.500 0.000 0.500
Mo 0.500 0.500 0.000

## Properties
- calculated formation energy (meV/atom) = 1103
- uncorrected energy (eV per atom) = -10.170
- symmetry = Pm-3m
- magnetization (μB/atom) = 0.000

[2]
The following is a PBEsol calculation of an optimized crystal structure of NbCrMo2Se, from Alexandria via LeMat-Bulk.

a = 4.558 Å, b = 4.558 Å, c = 4.246 Å
α = 90.00°, β = 90.00°, γ = 90.00°
Sites, in units of the cell vectors:
Nb 0.000 0.000 0.000
Cr 0.500 0.500 0.000
Mo 0.000 0.500 0.500
Mo 0.500 0.000 0.500
Se 0.500 0.500 0.500

## Properties
- energy relative to the elements, uncorrected (eV/atom) = 0.974
- uncorrected energy (eV per atom) = -8.716
- symmetry = P4/mmm
- magnetization (μB/atom) = 0.349

[3]
The following is a PBEsol calculation of an optimized crystal structure of CrNiMo2, from Alexandria via LeMat-Bulk.

a = 2.532 Å, b = 3.876 Å, c = 5.366 Å
α = 90.00°, β = 90.00°, γ = 90.00°
Sites, in units of the cell vectors:
Cr 0.000 0.000 0.000
Ni 0.000 0.000 0.500
Mo 0.500 0.500 0.252
Mo 0.500 0.500 0.748

## Properties
- calculated formation energy (meV/atom) = 218
- uncorrected energy (eV per atom) = -9.766
- symmetry = Pmmm
- magnetization (μB/atom) = 0.000

[4]
The following is a PBEsol calculation of an optimized crystal structure of CrNiMo2, from Alexandria via LeMat-Bulk.

a = 4.552 Å, b = 4.552 Å, c = 2.655 Å
α = 90.00°, β = 90.00°, γ = 108.15°
Sites, in units of the cell vectors:
Cr 0.000 0.000 0.000
Ni 0.500 0.500 0.000
Mo 0.000 0.500 0.500
Mo 0.500 0.000 0.500

## Properties
- calculated formation energy (meV/atom) = 179
- uncorrected energy (eV per atom) = -9.805
- symmetry = Cmmm
- magnetization (μB/atom) = 0.000

[5]
The following is a PBEsol calculation of an optimized crystal structure of CrNi2Mo, from Alexandria via LeMat-Bulk.

a = 4.510 Å, b = 4.510 Å, c = 4.510 Å
α = 133.90°, β = 133.90°, γ = 67.24°
Sites, in units of the cell vectors:
Cr 0.000 0.000 0.000
Ni 0.250 0.750 0.500
Ni 0.750 0.250 0.500
Mo 0.500 0.500 0.000

## Properties
- calculated formation energy (meV/atom) = 16
- uncorrected energy (eV per atom) = -8.565
- symmetry = I4/mmm
- magnetization (μB/atom) = 0.174

[6]
The following is a PBEsol calculation of an optimized crystal structure of CrNiMo2, from Alexandria via LeMat-Bulk.

a = 4.547 Å, b = 4.547 Å, c = 4.547 Å
α = 134.42°, β = 127.03°, γ = 72.41°
Sites, in units of the cell vectors:
Cr 0.000 0.000 0.000
Ni 0.500 0.500 0.000
Mo 0.237 0.737 0.500
Mo 0.763 0.263 0.500

## Properties
- calculated formation energy (meV/atom) = 159
- uncorrected energy (eV per atom) = -9.825
- symmetry = Immm
- magnetization (μB/atom) = 0.001

[7]
The following is a PBEsol calculation of an optimized crystal structure of CrNiMo2, from Alexandria via LeMat-Bulk.

a = 2.584 Å, b = 2.584 Å, c = 8.167 Å
α = 90.00°, β = 90.00°, γ = 105.98°
Sites, in units of the cell vectors:
Cr 0.000 0.000 0.000
Ni 0.000 0.000 0.500
Mo 0.500 0.500 0.254
Mo 0.500 0.500 0.746

## Properties
- calculated formation energy (meV/atom) = 94
- uncorrected energy (eV per atom) = -9.890
- symmetry = Cmmm
- magnetization (μB/atom) = 0.000

[8]
The following is a PBEsol calculation of an optimized crystal structure of CrNi2Mo, from Alexandria via LeMat-Bulk.

a = 3.537 Å, b = 3.537 Å, c = 3.750 Å
α = 90.00°, β = 90.00°, γ = 90.00°
Sites, in units of the cell vectors:
Cr 0.000 0.000 0.000
Ni 0.000 0.500 0.500
Ni 0.500 0.000 0.500
Mo 0.500 0.500 0.000

## Properties
- calculated formation energy (meV/atom) = 11
- uncorrected energy (eV per atom) = -8.570
- symmetry = P4/mmm
- magnetization (μB/atom) = 0.265

[9]
The following is a PBEsol calculation of an optimized crystal structure of CrMoO3, from Alexandria via LeMat-Bulk.

a = 3.746 Å, b = 3.746 Å, c = 3.746 Å
α = 74.74°, β = 74.74°, γ = 74.74°
Sites, in units of the cell vectors:
Cr 0.000 0.000 0.000
Mo 0.651 0.651 0.651
O 0.145 0.839 0.496
O 0.496 0.145 0.839
O 0.839 0.496 0.145

## Properties
- energy relative to the elements, uncorrected (eV/atom) = -1.606
- uncorrected energy (eV per atom) = -9.157
- symmetry = R3
- magnetization (μB/atom) = 0.000

[10]
The following is a PBEsol calculation of an optimized crystal structure of CrMoOs2, from Alexandria via LeMat-Bulk.

a = 4.640 Å, b = 4.640 Å, c = 2.704 Å
α = 90.00°, β = 90.00°, γ = 108.90°
Sites, in units of the cell vectors:
Cr 0.000 0.000 0.000
Mo 0.500 0.500 0.000
Os 0.000 0.500 0.500
Os 0.500 0.000 0.500

## Properties
- calculated formation energy (meV/atom) = 141
- uncorrected energy (eV per atom) = -11.470
- symmetry = Cmmm
- magnetization (μB/atom) = 0.001

[11]
The following is a PBEsol calculation of an optimized crystal structure of CrMoOs2, from Alexandria via LeMat-Bulk.

a = 2.648 Å, b = 2.648 Å, c = 8.596 Å
α = 90.00°, β = 90.00°, γ = 112.83°
Sites, in units of the cell vectors:
Cr 0.000 0.000 0.000
Mo 0.500 0.500 0.761
Os 0.000 0.000 0.503
Os 0.500 0.500 0.235

## Properties
- calculated formation energy (meV/atom) = 417
- uncorrected energy (eV per atom) = -11.194
- symmetry = Cmm2
- magnetization (μB/atom) = 0.000

[12]
The following is a PBEsol calculation of an optimized crystal structure of CrMoOs2, from Alexandria via LeMat-Bulk.

a = 4.641 Å, b = 4.641 Å, c = 4.641 Å
α = 131.44°, β = 131.44°, γ = 71.12°
Sites, in units of the cell vectors:
Cr 0.000 0.000 0.000
Mo 0.500 0.500 0.000
Os 0.250 0.750 0.500
Os 0.750 0.250 0.500

## Properties
- calculated formation energy (meV/atom) = 119
- uncorrected energy (eV per atom) = -11.492
- symmetry = I4/mmm
- magnetization (μB/atom) = 0.000

[13]
The following is a PBEsol calculation of an optimized crystal structure of CrMoOs2, from Alexandria via LeMat-Bulk.

a = 2.895 Å, b = 4.367 Å, c = 4.393 Å
α = 90.00°, β = 90.00°, γ = 90.00°
Sites, in units of the cell vectors:
Cr 0.000 0.000 0.000
Mo 0.500 0.000 0.500
Os 0.000 0.500 0.500
Os 0.500 0.500 0.000

## Properties
- calculated formation energy (meV/atom) = 364
- uncorrected energy (eV per atom) = -11.246
- symmetry = Pmmm
- magnetization (μB/atom) = 0.007

[14]
The following is a PBEsol calculation of an optimized crystal structure of Cr2MoOs, from Alexandria via LeMat-Bulk.

a = 2.977 Å, b = 4.144 Å, c = 4.273 Å
α = 90.00°, β = 90.00°, γ = 90.00°
Sites, in units of the cell vectors:
Cr 0.000 0.000 0.000
Cr 0.500 0.000 0.500
Mo 0.000 0.500 0.500
Os 0.500 0.500 0.000

## Properties
- calculated formation energy (meV/atom) = 191
- uncorrected energy (eV per atom) = -10.926
- symmetry = Pmmm
- magnetization (μB/atom) = 0.235

[15]
The following is a PBEsol calculation of an optimized crystal structure of CrMoOs2, from Alexandria via LeMat-Bulk.

a = 8.907 Å, b = 8.907 Å, c = 8.907 Å
α = 17.45°, β = 17.45°, γ = 17.45°
Sites, in units of the cell vectors:
Cr 0.000 0.000 0.000
Mo 0.248 0.248 0.248
Os 0.497 0.497 0.497
Os 0.743 0.743 0.743

## Properties
- calculated formation energy (meV/atom) = 240
- uncorrected energy (eV per atom) = -11.371
- symmetry = R3m
- magnetization (μB/atom) = 0.000

[16]
The following is a PBEsol calculation of an optimized crystal structure of Cr2MoOs, from Alexandria via LeMat-Bulk.

a = 4.184 Å, b = 4.184 Å, c = 4.184 Å
α = 60.00°, β = 60.00°, γ = 60.00°
Sites, in units of the cell vectors:
Cr 0.250 0.250 0.250
Cr 0.750 0.750 0.750
Mo 0.000 0.000 0.000
Os 0.500 0.500 0.500

## Properties
- calculated formation energy (meV/atom) = 121
- uncorrected energy (eV per atom) = -10.996
- symmetry = Fm-3m
- magnetization (μB/atom) = 0.001

[17]
The following is a PBEsol calculation of an optimized crystal structure of Cr2MoOs, from Alexandria via LeMat-Bulk.

a = 2.952 Å, b = 2.952 Å, c = 5.947 Å
α = 90.00°, β = 90.00°, γ = 90.00°
Sites, in units of the cell vectors:
Cr 0.000 0.000 0.242
Cr 0.000 0.000 0.758
Mo 0.500 0.500 0.000
Os 0.500 0.500 0.500

## Properties
- calculated formation energy (meV/atom) = 142
- uncorrected energy (eV per atom) = -10.975
- symmetry = P4/mmm
- magnetization (μB/atom) = 0.002

[18]
The following is a PBEsol calculation of an optimized crystal structure of Cr2MoOs, from Alexandria via LeMat-Bulk.

a = 4.873 Å, b = 4.873 Å, c = 4.873 Å
α = 144.34°, β = 128.09°, γ = 64.57°
Sites, in units of the cell vectors:
Cr 0.241 0.241 0.000
Cr 0.759 0.759 0.000
Mo 0.000 0.500 0.500
Os 0.500 0.000 0.500

## Properties
- calculated formation energy (meV/atom) = 172
- uncorrected energy (eV per atom) = -10.944
- symmetry = Immm
- magnetization (μB/atom) = 0.000

[19]
The following is a PBEsol calculation of an optimized crystal structure of CrMoOs2, from Alexandria via LeMat-Bulk.

a = 4.665 Å, b = 4.665 Å, c = 4.648 Å
α = 99.24°, β = 99.24°, γ = 33.62°
Sites, in units of the cell vectors:
Cr 0.000 0.000 0.000
Mo 0.757 0.757 0.261
Os 0.256 0.256 0.764
Os 0.511 0.511 0.523

## Properties
- calculated formation energy (meV/atom) = 153
- uncorrected energy (eV per atom) = -11.458
- symmetry = Cm
- magnetization (μB/atom) = 0.000

[20]
The following is a PBEsol calculation of an optimized crystal structure of CrMoP, from Alexandria via LeMat-Bulk.

a = 3.947 Å, b = 3.947 Å, c = 3.947 Å
α = 60.00°, β = 60.00°, γ = 60.00°
Sites, in units of the cell vectors:
Cr 0.000 0.000 0.000
Mo 0.500 0.500 0.500
P 0.250 0.250 0.250

## Properties
- calculated formation energy (meV/atom) = -44
- uncorrected energy (eV per atom) = -9.311
- symmetry = F-43m
- magnetization (μB/atom) = 0.985

[21]
The following is a PBEsol calculation of an optimized crystal structure of CrMoP, from Alexandria via LeMat-Bulk.

a = 3.989 Å, b = 3.989 Å, c = 3.989 Å
α = 60.00°, β = 60.00°, γ = 60.00°
Sites, in units of the cell vectors:
Cr 0.000 0.000 0.000
Mo 0.750 0.750 0.750
P 0.500 0.500 0.500

## Properties
- calculated formation energy (meV/atom) = 267
- uncorrected energy (eV per atom) = -9.000
- symmetry = F-43m
- magnetization (μB/atom) = 0.000

[22]
The following is a PBEsol calculation of an optimized crystal structure of CrMo2P, from Alexandria via LeMat-Bulk.

a = 4.857 Å, b = 4.857 Å, c = 4.857 Å
α = 142.44°, β = 130.60°, γ = 63.67°
Sites, in units of the cell vectors:
Cr 0.000 0.000 0.000
Mo 0.251 0.751 0.500
Mo 0.749 0.249 0.500
P 0.500 0.500 0.000

## Properties
- calculated formation energy (meV/atom) = -105
- uncorrected energy (eV per atom) = -9.997
- symmetry = Immm
- magnetization (μB/atom) = 0.000

[23]
The following is a PBEsol calculation of an optimized crystal structure of CrMo2P, from Alexandria via LeMat-Bulk.

a = 4.182 Å, b = 4.182 Å, c = 3.032 Å
α = 90.00°, β = 90.00°, γ = 95.84°
Sites, in units of the cell vectors:
Cr 0.000 0.000 0.000
Mo 0.000 0.500 0.500
Mo 0.500 0.000 0.500
P 0.500 0.500 0.000

## Properties
- calculated formation energy (meV/atom) = -48
- uncorrected energy (eV per atom) = -9.940
- symmetry = Cmmm
- magnetization (μB/atom) = 0.143

[24]
The following is a PBEsol calculation of an optimized crystal structure of Y2CrMoPb, from Alexandria via LeMat-Bulk.

a = 5.276 Å, b = 5.276 Å, c = 4.277 Å
α = 90.00°, β = 90.00°, γ = 90.00°
Sites, in units of the cell vectors:
Y 0.000 0.500 0.000
Y 0.500 0.000 0.000
Cr 0.000 0.000 0.000
Mo 0.000 0.000 0.500
Pb 0.500 0.500 0.500

## Properties
- calculated formation energy (meV/atom) = 468
- uncorrected energy (eV per atom) = -7.462
- symmetry = P4/mmm
- magnetization (μB/atom) = 0.000

[25]
The following is a PBEsol calculation of an optimized crystal structure of CrMo3Pd, from Alexandria via LeMat-Bulk.

a = 4.362 Å, b = 4.362 Å, c = 4.362 Å
α = 90.00°, β = 90.00°, γ = 90.00°
Sites, in units of the cell vectors:
Cr 0.000 0.000 0.000
Mo 0.000 0.000 0.500
Mo 0.000 0.500 0.000
Mo 0.500 0.000 0.000
Pd 0.500 0.500 0.500

## Properties
- calculated formation energy (meV/atom) = 1158
- uncorrected energy (eV per atom) = -9.143
- symmetry = Pm-3m
- magnetization (μB/atom) = 0.000

[26]
The following is a PBEsol calculation of an optimized crystal structure of CrMo2Pd, from Alexandria via LeMat-Bulk.

a = 4.322 Å, b = 4.322 Å, c = 4.322 Å
α = 60.00°, β = 60.00°, γ = 60.00°
Sites, in units of the cell vectors:
Cr 0.000 0.000 0.000
Mo 0.250 0.250 0.250
Mo 0.750 0.750 0.750
Pd 0.500 0.500 0.500

## Properties
- calculated formation energy (meV/atom) = 370
- uncorrected energy (eV per atom) = -9.564
- symmetry = Fm-3m
- magnetization (μB/atom) = 0.000

[27]
The following is a PBEsol calculation of an optimized crystal structure of Cr4MoPt, from Alexandria via LeMat-Bulk.

a = 4.720 Å, b = 4.720 Å, c = 4.720 Å
α = 60.00°, β = 60.00°, γ = 60.00°
Sites, in units of the cell vectors:
Cr 0.124 0.124 0.124
Cr 0.124 0.124 0.628
Cr 0.124 0.628 0.124
Cr 0.628 0.124 0.124
Mo 0.750 0.750 0.750
Pt 0.500 0.500 0.500

## Properties
- calculated formation energy (meV/atom) = -42
- uncorrected energy (eV per atom) = -9.992
- symmetry = F-43m
- magnetization (μB/atom) = 0.000

[28]
The following is a PBEsol calculation of an optimized crystal structure of CrMo2Pt, from Alexandria via LeMat-Bulk.

a = 3.156 Å, b = 3.156 Å, c = 5.814 Å
α = 90.00°, β = 90.00°, γ = 90.00°
Sites, in units of the cell vectors:
Cr 0.000 0.000 0.000
Mo 0.000 0.000 0.479
Mo 0.500 0.500 0.225
Pt 0.500 0.500 0.748

## Properties
- calculated formation energy (meV/atom) = 77
- uncorrected energy (eV per atom) = -10.108
- symmetry = P4mm
- magnetization (μB/atom) = 0.472

[29]
The following is a PBEsol calculation of an optimized crystal structure of CrMoPt3, from Alexandria via LeMat-Bulk.

a = 4.488 Å, b = 4.488 Å, c = 4.488 Å
α = 90.00°, β = 90.00°, γ = 90.00°
Sites, in units of the cell vectors:
Cr 0.000 0.000 0.000
Mo 0.500 0.500 0.500
Pt 0.000 0.000 0.500
Pt 0.000 0.500 0.000
Pt 0.500 0.000 0.000

## Properties
- calculated formation energy (meV/atom) = 1309
- uncorrected energy (eV per atom) = -7.271
- symmetry = Pm-3m
- magnetization (μB/atom) = 0.678

[30]
The following is a PBEsol calculation of an optimized crystal structure of RbCrMo2, from Alexandria via LeMat-Bulk.

a = 4.525 Å, b = 4.525 Å, c = 4.525 Å
α = 60.00°, β = 60.00°, γ = 60.00°
Sites, in units of the cell vectors:
Rb 0.000 0.000 0.000
Cr 0.500 0.500 0.500
Mo 0.250 0.250 0.250
Mo 0.750 0.750 0.750

## Properties
- calculated formation energy (meV/atom) = 1915
- uncorrected energy (eV per atom) = -6.786
- symmetry = Fm-3m
- magnetization (μB/atom) = 0.122